No. 1
## Cs2RbAu4 (PBE)

Data for Cs2RbAu4 after structural relaxation.

Output
volume: 36.2 Å³ per atom
formation energy from the elements: -0.225 eV/atom
total magnetic moment: 0.00 μB per formula unit
theoretical density: 7.5 g/cm³
crystal system: monoclinic

```
data_Cs2RbAu4
_cell_length_a 10.0470
_cell_length_b 10.0470
_cell_length_c 8.1120
_cell_angle_alpha 101.23
_cell_angle_beta 101.23
_cell_angle_gamma 39.30
_space_group_name_H-M_alt 'P 1'
_space_group_IT_number 1
loop_
_space_group_symop_operation_xyz
'x,y,z'
loop_
_atom_site_label
_atom_site_type_symbol
_atom_site_fract_x
_atom_site_fract_y
_atom_site_fract_z
Cs1 Cs 0.0996 0.2869 0.1573
Cs2 Cs 0.2869 0.0996 0.6573
Cs3 Cs 0.7131 0.9004 0.3427
Cs4 Cs 0.9004 0.7131 0.8427
Rb1 Rb 0.2164 0.7836 0.7500
Rb2 Rb 0.7836 0.2164 0.2500
Au1 Au 0.2284 0.6250 0.2433
Au2 Au 0.2828 0.4303 0.4958
Au3 Au 0.3750 0.7716 0.2567
Au4 Au 0.4303 0.2828 0.9958
Au5 Au 0.5697 0.7172 0.0042
Au6 Au 0.6250 0.2284 0.7433
Au7 Au 0.7172 0.5697 0.5042
Au8 Au 0.7716 0.3750 0.7567
```



No. 2
## LaCr3Cu (PBE)

Data for LaCr3Cu after structural relaxation.

Output
volume: 17.5 Å³ per atom
formation energy from the elements: 2.140 eV/atom
total magnetic moment: 0.00 μB per formula unit
theoretical density: 6.8 g/cm³
crystal system: cubic
distance to the lowest polymorph of the same formula: 742 meV/atom

```
data_LaCr3Cu
_cell_length_a 4.4429
_cell_length_b 4.4429
_cell_length_c 4.4429
_cell_angle_alpha 90.00
_cell_angle_beta 90.00
_cell_angle_gamma 90.00
_space_group_name_H-M_alt 'P 1'
_space_group_IT_number 1
loop_
_space_group_symop_operation_xyz
'x,y,z'
loop_
_atom_site_label
_atom_site_type_symbol
_atom_site_fract_x
_atom_site_fract_y
_atom_site_fract_z
La1 La 0.0000 0.0000 0.0000
Cr1 Cr 0.0000 0.0000 0.5000
Cr2 Cr 0.0000 0.5000 0.0000
Cr3 Cr 0.5000 0.0000 0.0000
Cu1 Cu 0.5000 0.5000 0.5000
```



No. 3
## Ho3Tm2Sc (PBE)

Data for Ho3Tm2Sc after structural relaxation.

Output
volume: 30.0 Å³ per atom
formation energy from the elements: 0.145 eV/atom
total magnetic moment: 0.00 μB per formula unit
theoretical density: 8.1 g/cm³
crystal system: monoclinic
distance to the lowest polymorph of the same formula: 96 meV/atom

```
data_Ho3Tm2Sc
_cell_length_a 8.9639
_cell_length_b 8.9639
_cell_length_c 6.6355
_cell_angle_alpha 99.20
_cell_angle_beta 99.20
_cell_angle_gamma 43.21
_space_group_name_H-M_alt 'P 1'
_space_group_IT_number 1
loop_
_space_group_symop_operation_xyz
'x,y,z'
loop_
_atom_site_label
_atom_site_type_symbol
_atom_site_fract_x
_atom_site_fract_y
_atom_site_fract_z
Ho1 Ho 0.2426 0.7574 0.7500
Ho2 Ho 0.2849 0.4139 0.9800
Ho3 Ho 0.4139 0.2849 0.4800
Ho4 Ho 0.5861 0.7151 0.5200
Ho5 Ho 0.7151 0.5861 0.0200
Ho6 Ho 0.7574 0.2426 0.2500
Tm1 Tm 0.1031 0.2391 0.6294
Tm2 Tm 0.2391 0.1031 0.1294
Tm3 Tm 0.7609 0.8969 0.8706
Tm4 Tm 0.8969 0.7609 0.3706
Sc1 Sc 0.2413 0.7587 0.2500
Sc2 Sc 0.7587 0.2413 0.7500
```



No. 4
## NiPdN2 (PBE)

Data for NiPdN2 after structural relaxation.

Output
volume: 9.5 Å³ per atom
total magnetic moment: 0.00 μB per formula unit
theoretical density: 8.5 g/cm³
crystal system: cubic
distance to the lowest polymorph of the same formula: 761 meV/atom
uncorrected formation energy: 1.365 eV/atom

```
data_NiPdN2
_cell_length_a 5.3345
_cell_length_b 5.3345
_cell_length_c 5.3345
_cell_angle_alpha 90.00
_cell_angle_beta 90.00
_cell_angle_gamma 90.00
_space_group_name_H-M_alt 'P 1'
_space_group_IT_number 1
loop_
_space_group_symop_operation_xyz
'x,y,z'
loop_
_atom_site_label
_atom_site_type_symbol
_atom_site_fract_x
_atom_site_fract_y
_atom_site_fract_z
Ni1 Ni 0.0000 0.0000 0.0000
Ni2 Ni 0.0000 0.5000 0.5000
Ni3 Ni 0.5000 0.0000 0.5000
Ni4 Ni 0.5000 0.5000 0.0000
Pd1 Pd 0.0000 0.0000 0.5000
Pd2 Pd 0.0000 0.5000 0.0000
Pd3 Pd 0.5000 0.0000 0.0000
Pd4 Pd 0.5000 0.5000 0.5000
N1 N 0.2500 0.2500 0.2500
N2 N 0.2500 0.2500 0.7500
N3 N 0.2500 0.7500 0.2500
N4 N 0.2500 0.7500 0.7500
N5 N 0.7500 0.2500 0.2500
N6 N 0.7500 0.2500 0.7500
N7 N 0.7500 0.7500 0.2500
N8 N 0.7500 0.7500 0.7500
```



No. 5
## Pr2HoEr4Mg (PBE)

Data for Pr2HoEr4Mg after structural relaxation.

Output
volume: 31.3 Å³ per atom
formation energy from the elements: 0.036 eV/atom
total magnetic moment: 0.00 μB per formula unit
theoretical density: 7.6 g/cm³
crystal system: monoclinic

```
data_Pr2HoEr4Mg
_cell_length_a 4.9766
_cell_length_b 4.9620
_cell_length_c 10.1256
_cell_angle_alpha 90.00
_cell_angle_beta 90.04
_cell_angle_gamma 90.00
_space_group_name_H-M_alt 'P 1'
_space_group_IT_number 1
loop_
_space_group_symop_operation_xyz
'x,y,z'
loop_
_atom_site_label
_atom_site_type_symbol
_atom_site_fract_x
_atom_site_fract_y
_atom_site_fract_z
Pr1 Pr 0.0000 0.0000 0.0000
Pr2 Pr 0.5000 0.5000 0.5000
Ho1 Ho 0.0000 0.0000 0.5000
Er1 Er 0.0001 0.5000 0.2499
Er2 Er 0.9998 0.5000 0.7501
Er3 Er 0.4999 0.0000 0.2496
Er4 Er 0.5001 0.0000 0.7504
Mg1 Mg 0.5000 0.5000 0.0000
```



No. 6
## ErLuN (PBE)

Data for ErLuN after structural relaxation.

Output
volume: 19.7 Å³ per atom
total magnetic moment: 0.25 μB per formula unit
theoretical density: 10.0 g/cm³
crystal system: trigonal
distance to the lowest polymorph of the same formula: 0 meV/atom
uncorrected formation energy: -1.103 eV/atom

```
data_ErLuN
_cell_length_a 3.4307
_cell_length_b 3.4307
_cell_length_c 5.7985
_cell_angle_alpha 90.00
_cell_angle_beta 90.00
_cell_angle_gamma 120.00
_space_group_name_H-M_alt 'P 1'
_space_group_IT_number 1
loop_
_space_group_symop_operation_xyz
'x,y,z'
loop_
_atom_site_label
_atom_site_type_symbol
_atom_site_fract_x
_atom_site_fract_y
_atom_site_fract_z
Er1 Er 0.0000 0.0000 0.0000
Lu1 Lu 0.3333 0.6667 0.4553
N1 N 0.6667 0.3333 0.2359
```



No. 7
## ZnW2Cl (PBE)

Data for ZnW2Cl after structural relaxation.

Output
volume: 16.7 Å³ per atom
total magnetic moment: 0.00 μB per formula unit
theoretical density: 11.6 g/cm³
crystal system: tetragonal
distance to the lowest polymorph of the same formula: 910 meV/atom
uncorrected formation energy: 1.216 eV/atom

```
data_ZnW2Cl
_cell_length_a 3.8062
_cell_length_b 3.8062
_cell_length_c 9.2351
_cell_angle_alpha 90.00
_cell_angle_beta 90.00
_cell_angle_gamma 90.00
_space_group_name_H-M_alt 'P 1'
_space_group_IT_number 1
loop_
_space_group_symop_operation_xyz
'x,y,z'
loop_
_atom_site_label
_atom_site_type_symbol
_atom_site_fract_x
_atom_site_fract_y
_atom_site_fract_z
Zn1 Zn 0.0000 0.0000 0.0000
Zn2 Zn 0.5000 0.5000 0.5000
W1 W 0.0000 0.5000 0.2500
W2 W 0.0000 0.5000 0.7500
W3 W 0.5000 0.0000 0.2500
W4 W 0.5000 0.0000 0.7500
Cl1 Cl 0.0000 0.0000 0.5000
Cl2 Cl 0.5000 0.5000 0.0000
```



No. 8
## SrLiSm2S4 (PBE)

Data for SrLiSm2S4 after structural relaxation.

Output
volume: 23.4 Å³ per atom
total magnetic moment: 0.00 μB per formula unit
theoretical density: 4.7 g/cm³
crystal system: orthorhombic
uncorrected formation energy: -1.936 eV/atom

```
data_SrLiSm2S4
_cell_length_a 6.9874
_cell_length_b 6.9874
_cell_length_c 13.9051
_cell_angle_alpha 90.00
_cell_angle_beta 90.00
_cell_angle_gamma 146.60
_space_group_name_H-M_alt 'P 1'
_space_group_IT_number 1
loop_
_space_group_symop_operation_xyz
'x,y,z'
loop_
_atom_site_label
_atom_site_type_symbol
_atom_site_fract_x
_atom_site_fract_y
_atom_site_fract_z
Sr1 Sr 0.1159 0.8841 0.7500
Sr2 Sr 0.8841 0.1159 0.2500
Li1 Li 0.1534 0.8466 0.2500
Li2 Li 0.8466 0.1534 0.7500
Sm1 Sm 0.3710 0.6290 0.5565
Sm2 Sm 0.3710 0.6290 0.9435
Sm3 Sm 0.6290 0.3710 0.0565
Sm4 Sm 0.6290 0.3710 0.4435
S1 S 0.0000 0.0000 0.0000
S2 S 0.0000 0.0000 0.5000
S3 S 0.2708 0.7292 0.1204
S4 S 0.2708 0.7292 0.3796
S5 S 0.4451 0.5549 0.7500
S6 S 0.5549 0.4451 0.2500
S7 S 0.7292 0.2708 0.6204
S8 S 0.7292 0.2708 0.8796
```



No. 9
## Rb5PS4I2 (PBE)

Data for Rb5PS4I2 after structural relaxation.

Output
volume: 44.1 Å³ per atom
total magnetic moment: 0.00 μB per formula unit
theoretical density: 2.6 g/cm³
crystal system: orthorhombic
uncorrected formation energy: -1.104 eV/atom

```
data_Rb5PS4I2
_cell_length_a 10.1746
_cell_length_b 7.3363
_cell_length_c 7.3363
_cell_angle_alpha 104.90
_cell_angle_beta 90.00
_cell_angle_gamma 90.00
_space_group_name_H-M_alt 'P 1'
_space_group_IT_number 1
loop_
_space_group_symop_operation_xyz
'x,y,z'
loop_
_atom_site_label
_atom_site_type_symbol
_atom_site_fract_x
_atom_site_fract_y
_atom_site_fract_z
Rb1 Rb 0.0000 0.0000 0.0000
Rb2 Rb 0.2864 0.3028 0.7391
Rb3 Rb 0.2864 0.7391 0.3028
Rb4 Rb 0.7136 0.3028 0.7391
Rb5 Rb 0.7136 0.7391 0.3028
P1 P 0.5000 0.9315 0.9315
S1 S 0.3353 0.0660 0.0660
S2 S 0.5000 0.6515 0.9434
S3 S 0.5000 0.9434 0.6515
S4 S 0.6647 0.0660 0.0660
I1 I 0.0000 0.0299 0.5088
I2 I 0.0000 0.5088 0.0299
```



No. 10
## Pm4GdY (PBE)

Data for Pm4GdY after structural relaxation.

Output
volume: 35.2 Å³ per atom
formation energy from the elements: 0.232 eV/atom
total magnetic moment: 7.75 μB per formula unit
theoretical density: 6.5 g/cm³
crystal system: cubic

```
data_Pm4GdY
_cell_length_a 6.6826
_cell_length_b 6.6826
_cell_length_c 6.6826
_cell_angle_alpha 60.00
_cell_angle_beta 60.00
_cell_angle_gamma 60.00
_space_group_name_H-M_alt 'P 1'
_space_group_IT_number 1
loop_
_space_group_symop_operation_xyz
'x,y,z'
loop_
_atom_site_label
_atom_site_type_symbol
_atom_site_fract_x
_atom_site_fract_y
_atom_site_fract_z
Pm1 Pm 0.3756 0.3756 0.3756
Pm2 Pm 0.3756 0.3756 0.8731
Pm3 Pm 0.3756 0.8731 0.3756
Pm4 Pm 0.8731 0.3756 0.3756
Gd1 Gd 0.0000 0.0000 0.0000
Y1 Y 0.7500 0.7500 0.7500
```



No. 11
## CrCoHg2 (PBE)

Data for CrCoHg2 after structural relaxation.

Output
volume: 16.9 Å³ per atom
formation energy from the elements: 0.511 eV/atom
total magnetic moment: 4.32 μB per formula unit
theoretical density: 12.5 g/cm³
crystal system: cubic
distance to the lowest polymorph of the same formula: 144 meV/atom

```
data_CrCoHg2
_cell_length_a 6.4719
_cell_length_b 6.4719
_cell_length_c 6.4719
_cell_angle_alpha 90.00
_cell_angle_beta 90.00
_cell_angle_gamma 90.00
_space_group_name_H-M_alt 'P 1'
_space_group_IT_number 1
loop_
_space_group_symop_operation_xyz
'x,y,z'
loop_
_atom_site_label
_atom_site_type_symbol
_atom_site_fract_x
_atom_site_fract_y
_atom_site_fract_z
Cr1 Cr 0.0000 0.0000 0.0000
Cr2 Cr 0.0000 0.5000 0.5000
Cr3 Cr 0.5000 0.0000 0.5000
Cr4 Cr 0.5000 0.5000 0.0000
Co1 Co 0.0000 0.0000 0.5000
Co2 Co 0.0000 0.5000 0.0000
Co3 Co 0.5000 0.0000 0.0000
Co4 Co 0.5000 0.5000 0.5000
Hg1 Hg 0.2500 0.2500 0.2500
Hg2 Hg 0.2500 0.2500 0.7500
Hg3 Hg 0.2500 0.7500 0.2500
Hg4 Hg 0.2500 0.7500 0.7500
Hg5 Hg 0.7500 0.2500 0.2500
Hg6 Hg 0.7500 0.2500 0.7500
Hg7 Hg 0.7500 0.7500 0.2500
Hg8 Hg 0.7500 0.7500 0.7500
```